(1)
LiTm2PaS6: optimized geometry, PBE.

Output
Calculated total energy, eV/f.u.: -58.7
Formation energy from raw total energies, eV per atom: -1.3614

a b c (Å): 6.3184 6.3184 6.4081
angles (deg): 90.00 90.00 90.00
Closest atoms and distances in Å follow each position.
Space group P4mm (No. 99)
Asymmetric unit:
Li 0.0000 0.0000 0.0000 x1  5 S 2.34-2.53
Tm 0.0000 0.5000 0.4425 x2  4 S 2.68
Pa 0.5000 0.5000 0.0492 x1  5 S 2.54-2.64
S 0.0000 0.0000 0.6349 x1  1 Li 2.34
S 0.2401 0.2401 0.2107 x4  1 Li 2.53, 1 Pa 2.54, 2 Tm 2.68
S 0.5000 0.5000 0.6373 x1  1 Pa 2.64

---

(2)
LiZn2As: optimized geometry, PBE.

Output
Energy relative to the elements, kcal/mol of atoms: -4.1
Calculated total energy, eV/f.u.: -9.8
DOS at the Fermi energy, states/eV/cell: 2.791

a b c (Å): 3.9265 3.9265 8.2619
angles (deg): 90.00 90.00 90.00
Closest atoms and distances in Å follow each position.
Space group I4/mmm (No. 139)
Asymmetric unit:
Li 0.0000 0.0000 0.0000 x2  4 As 2.78, 8 Zn 2.85
Zn 0.0000 0.5000 0.2500 x4  4 Zn 2.78, 4 As 2.85, 4 Li 2.85
As 0.0000 0.0000 0.5000 x2  4 Li 2.78, 8 Zn 2.85

---

(3)
Np2Co5As3: optimized geometry, PBE.

Output
Energy relative to the elements, kcal/mol of atoms: -6.8
Calculated total energy, eV/f.u.: -78.3
DOS at the Fermi energy, states/eV/cell: 81.254

a b c (Å): 3.9290 22.4213 6.8327
angles (deg): 90.00 90.00 90.00
Closest atoms and distances in Å follow each position.
Space group Cmc2_1 (No. 36)
Asymmetric unit:
Np 0.0000 0.0017 0.0000 x4  4 Co 2.66-2.83, 3 As 2.95-2.97
Np 0.0000 0.3324 0.4838 x4  7 Co 2.86-3.19, 6 As 2.86-3.14
Co 0.0000 0.1217 0.3198 x4  2 As 2.37, 4 Co 2.47-2.62
Co 0.0000 0.2043 0.5920 x4  4 As 2.37-2.60, 6 Co 2.61-2.65
Co 0.0000 0.2287 0.2125 x4  3 As 2.34-2.36, 3 Co 2.51-2.61
Co 0.0000 0.3721 0.0372 x4  4 As 2.42-2.43, 5 Co 2.47-2.63
Co 0.0000 0.4611 0.2672 x4  3 As 2.39-2.51, 1 Co 2.54, 2 Np 2.66
As 0.0000 0.1083 0.7367 x4  5 Co 2.37-2.51
As 0.0000 0.2728 0.8990 x4  7 Co 2.34-2.60
As 0.0000 0.4325 0.7433 x4  4 Co 2.37-2.42

---

(4)
CsHfTl2F8: optimized geometry, PBE.

Output
Calculated total energy, eV/f.u.: -63.9
DOS at the Fermi energy, states/eV/cell: 5.198
Formation energy from raw total energies, eV per atom: -2.7843

a b c (Å): 5.3591 5.9024 8.1457
angles (deg): 90.12 90.09 90.29
Closest atoms and distances in Å follow each position.
Space group P-1 (No. 2)
Asymmetric unit:
Cs 0.0000 0.0000 0.0000 x1  6 F 2.91-2.98
Hf 0.0000 0.0000 0.5000 x1  6 F 2.02
Tl 0.5003 0.5003 0.2496 x2  4 F 2.42-2.68
F 0.1459 0.8023 0.3228 x2  1 Hf 2.02
F 0.1479 0.8037 0.6770 x2  1 Hf 2.02
F 0.2993 0.2089 0.4994 x2  1 Hf 2.02
F 0.4481 0.2819 0.9997 x2  2 Tl 2.42, 1 F 2.63

---

(5)
TlSb2TeW: optimized geometry, PBE.

Output
Relative energy among the computed polymorphs, eV/atom: 0.000
Calculated total energy, eV/f.u.: -24.3
DOS at the Fermi energy, states/eV/cell: 4.415
Formation energy from raw total energies, eV per atom: 0.4796

a b c (Å): 5.2843 5.2843 5.5493
angles (deg): 90.00 90.00 90.00
Closest atoms and distances in Å follow each position.
Space group P4/mmm (No. 123)
Asymmetric unit:
Tl 0.0000 0.0000 0.0000 x1  4 Te 3.74, 8 Sb 3.83
Sb 0.0000 0.5000 0.5000 x2  2 W 2.64
Te 0.5000 0.5000 0.0000 x1  2 W 2.77
W 0.5000 0.5000 0.5000 x1  4 Sb 2.64, 2 Te 2.77

---

(6)
As2Ir2S: optimized geometry, PBE.

Output
Relative energy among the computed polymorphs, eV/atom: 0.224
Calculated total energy, eV/f.u.: -29.0
DOS at the Fermi energy, states/eV/cell: 5.789
Formation energy from raw total energies, eV per atom: 0.4370

a b c (Å): 7.6837 7.6837 2.8480
angles (deg): 90.00 90.00 90.00
Closest atoms and distances in Å follow each position.
Space group P4/mbm (No. 127)
Asymmetric unit:
As 0.1527 0.3473 0.0000 x4  6 Ir 2.60-2.76, 2 As 2.85, 2 S 2.92
Ir 0.1302 0.6302 0.5000 x4  6 As 2.60-2.76, 3 Ir 2.83-2.85
S 0.0000 0.0000 0.0000 x2  2 S 2.85, 4 As 2.92

---

(7)
La5Pm3: optimized geometry, PBE.

Output
Energy relative to the elements, kcal/mol of atoms: 0.3
Relative energy among the computed polymorphs, eV/atom: 0.000
Calculated total energy, eV/f.u.: -38.8
DOS at the Fermi energy, states/eV/cell: 55.771

a b c (Å): 10.5352 10.4297 10.4263
angles (deg): 90.00 90.00 90.00
Closest atoms and distances in Å follow each position.
Space group Amm2 (No. 38)
Asymmetric unit:
La 0.0000 0.0000 0.0000 x2  10 La 3.65-3.72, 2 Pm 3.72
La 0.0000 0.2479 0.7525 x4  8 La 3.65-3.72, 4 Pm 3.65-3.73
La 0.2488 0.0000 0.2529 x4  8 La 3.68-3.72, 4 Pm 3.71-3.72
La 0.2520 0.2502 0.0027 x8  6 Pm 3.68-3.72, 6 La 3.68-3.72
La 0.5000 0.0000 0.5022 x2  6 Pm 3.67-3.69, 6 La 3.69-3.71
Pm 0.0000 0.0000 0.5048 x2  10 La 3.65-3.72, 2 Pm 3.72
Pm 0.2546 0.0000 0.7524 x4  4 Pm 3.67-3.72, 8 La 3.67-3.73
Pm 0.5000 0.0000 0.0027 x2  6 Pm 3.67-3.69, 6 La 3.69-3.72
Pm 0.5000 0.2504 0.2530 x4  4 Pm 3.67-3.69, 8 La 3.68-3.72

---

(8)
LiNdReO6: optimized geometry, PBE.

Output
Calculated total energy, eV/f.u.: -66.9
Formation energy from raw total energies, eV per atom: -1.9980

a b c (Å): 5.0518 5.2291 5.3673
angles (deg): 60.95 88.85 87.51
Closest atoms and distances in Å follow each position.
Space group P1 (No. 1)
Asymmetric unit:
Li 0.0000 0.0000 0.0000 x1  4 O 2.07-2.09
Nd 0.5014 0.6823 0.6377 x1  6 O 2.37-2.40
Re 0.0007 0.3333 0.3344 x1  6 O 1.81-2.01
O 0.1827 0.6390 0.9885 x1  1 Re 2.01, 1 Li 2.09
O 0.2138 0.0503 0.2974 x1  1 Re 1.88, 1 Li 2.07
O 0.2317 0.3481 0.5807 x1  1 Re 1.81
O 0.7710 0.0730 0.5825 x1  1 Re 1.81
O 0.7870 0.6533 0.2968 x1  1 Re 1.88, 1 Li 2.07
O 0.8196 0.3735 0.9884 x1  1 Re 2.00, 1 Li 2.09

---

(9)
YSn2HS4: optimized geometry, PBE.

Output
Calculated total energy, eV/f.u.: -38.6
DOS at the Fermi energy, states/eV/cell: 2.673

a b c (Å): 6.9526 3.9251 7.0430
angles (deg): 90.00 107.70 90.00
Closest atoms and distances in Å follow each position.
Space group P2/m (No. 10)
Asymmetric unit:
Y 0.0000 0.0000 0.0000 x1  6 S 2.75-2.76
Sn 0.5000 0.0000 0.5000 x1  6 S 2.91-2.94
Sn 0.5000 0.5000 0.0000 x1  6 S 2.73-2.75
H 0.0000 0.5000 0.5000 x1  6 S 2.91-2.98
S 0.2419 0.5000 0.2283 x2  3 Sn 2.75-2.94, 2 Y 2.76, 1 H 2.91
S 0.2634 0.0000 0.7777 x2  3 Sn 2.73-2.91, 1 Y 2.75, 2 H 2.98

---

(10)
In12Ga6Au: optimized geometry, PBE.

Output
Energy relative to the elements, kcal/mol of atoms: 0.8
Calculated total energy, eV/f.u.: -53.6
DOS at the Fermi energy, states/eV/cell: 18.193

a b c (Å): 12.0590 12.0590 11.1139
angles (deg): 90.00 90.00 120.00
Closest atoms and distances in Å follow each position.
Space group R-3 (No. 148, hexagonal axes)
Asymmetric unit:
In 0.0453 0.4818 0.1261 x18  3 Ga 3.07-3.15, 1 Au 3.08, 5 In 3.12-3.32
In 0.0846 0.9064 0.7561 x18  4 Ga 3.05-3.35, 4 In 3.22-3.32, 1 Au 3.40
Ga 0.0186 0.2391 0.0088 x18  2 Ga 2.78, 4 In 3.05-3.10
Au 0.0000 0.0000 0.5000 x3  12 In 3.08-3.40

---

(11)
LaNi2Ru: optimized geometry, PBE.

Output
Energy relative to the elements, kcal/mol of atoms: 4.1
Calculated total energy, eV/f.u.: -25.1
DOS at the Fermi energy, states/eV/cell: 5.657

a b c (Å): 3.0750 4.2453 5.4791
angles (deg): 90.00 104.82 90.00
Closest atoms and distances in Å follow each position.
Space group P2/m (No. 10)
Asymmetric unit:
La 0.0000 0.0000 0.0000 x1  2 Ru 2.78, 4 Ni 3.05, 2 La 3.08
Ni 0.3058 0.5000 0.6792 x2  2 Ni 2.35-2.55, 2 Ru 2.47
Ru 0.5000 0.0000 0.5000 x1  4 Ni 2.47

---

(12)
CuSiHg3: optimized geometry, PBE.

Output
Relative energy among the computed polymorphs, eV/atom: 0.018
Calculated total energy, eV/f.u.: -7.3
DOS at the Fermi energy, states/eV/cell: 2.608
Formation energy from raw total energies, eV per atom: 0.6344

a b c (Å): 4.9971 4.9971 4.9971
angles (deg): 90.00 90.00 90.00
Closest atoms and distances in Å follow each position.
Space group Pm-3m (No. 221)
Asymmetric unit:
Cu 0.0000 0.0000 0.0000 x1  6 Hg 2.50
Si 0.5000 0.5000 0.5000 x1  12 Hg 3.53
Hg 0.0000 0.0000 0.5000 x3  2 Cu 2.50

---

(13)
Na8As2P: optimized geometry, PBE.

Output
Energy relative to the elements, kcal/mol of atoms: -7.7
Relative energy among the computed polymorphs, eV/atom: 0.000
Calculated total energy, eV/f.u.: -28.9
DOS at the Fermi energy, states/eV/cell: 20.210

a b c (Å): 17.0979 4.9372 6.9868
angles (deg): 90.00 112.32 90.00
Closest atoms and distances in Å follow each position.
Space group C2/m (No. 12)
Asymmetric unit:
Na 0.0173 0.0000 0.2809 x4  2 P 2.98, 1 As 3.02, 3 Na 3.20-3.33
Na 0.1043 0.5000 0.9282 x4  1 P 2.84, 2 As 3.00, 1 Na 3.13
Na 0.1608 0.5000 0.4400 x4  1 P 2.93, 3 As 3.06-3.13, 1 Na 3.25
Na 0.2038 0.0000 0.7835 x4  3 As 2.99-3.18, 4 Na 3.13-3.32
As 0.1742 0.0000 0.1793 x4  9 Na 2.99-3.18
P 0.0000 0.5000 0.5000 x2  8 Na 2.84-2.98

---

(14)
TaAsOs2: optimized geometry, PBE.

Output
Energy relative to the elements, kcal/mol of atoms: 3.7
Calculated total energy, eV/f.u.: -38.3
DOS at the Fermi energy, states/eV/cell: 4.223

a b c (Å): 4.1172 4.1172 7.3627
angles (deg): 90.00 90.00 90.00
Closest atoms and distances in Å follow each position.
Space group I4/mmm (No. 139)
Asymmetric unit:
Ta 0.0000 0.0000 0.0000 x2  8 Os 2.76, 4 As 2.91
As 0.0000 0.0000 0.5000 x2  8 Os 2.76, 4 Ta 2.91
Os 0.0000 0.5000 0.2500 x4  4 Ta 2.76, 4 As 2.76, 4 Os 2.91

---

(15)
Y8C3O: optimized geometry, PBE.

Output
Calculated total energy, eV/f.u.: -92.9
DOS at the Fermi energy, states/eV/cell: 23.084
Formation energy from raw total energies, eV per atom: -0.7108

a b c (Å): 12.4183 7.1688 7.3066
angles (deg): 90.00 124.64 90.00
Closest atoms and distances in Å follow each position.
Space group C2/m (No. 12)
Asymmetric unit:
Y 0.0088 0.2472 0.2743 x8  2 C 2.47, 1 O 2.49
Y 0.2437 0.0000 0.7305 x4  3 C 2.49
Y 0.2439 0.5000 0.7257 x4  2 C 2.47, 1 O 2.49
C 0.0000 0.0000 0.5000 x2  6 Y 2.47-2.49
C 0.2500 0.2500 0.5000 x4  6 Y 2.47-2.49
O 0.0000 0.5000 0.5000 x2  6 Y 2.49

---

(16)
Pr6Si2BiSe3: optimized geometry, PBE.

Output
Calculated total energy, eV/f.u.: -69.8
DOS at the Fermi energy, states/eV/cell: 4.792
Formation energy from raw total energies, eV per atom: -1.3277

a b c (Å): 18.9808 4.3542 8.7624
angles (deg): 90.00 102.81 90.00
Closest atoms and distances in Å follow each position.
Space group C2/m (No. 12)
Asymmetric unit:
Pr 0.0059 0.0000 0.2643 x4  1 Si 2.99, 3 Se 3.02-3.16, 2 Bi 3.16
Pr 0.1701 0.5000 0.5781 x4  3 Si 3.01-3.03, 3 Se 3.14-3.15
Pr 0.1721 0.5000 0.0998 x4  2 Si 3.02, 3 Se 3.03-3.17, 1 Bi 3.19
Si 0.1676 0.0000 0.3357 x4  6 Pr 2.99-3.03
Bi 0.0000 0.5000 0.0000 x2  6 Pr 3.16-3.19
Se 0.0000 0.5000 0.5000 x2  6 Pr 3.02-3.15
Se 0.1644 0.0000 0.8339 x4  6 Pr 3.03-3.17

---

(17)
YSc2ZnPd4: optimized geometry, PBE.

Output
Energy relative to the elements, kcal/mol of atoms: -18.3
Calculated total energy, eV/f.u.: -47.5
DOS at the Fermi energy, states/eV/cell: 16.501

a b c (Å): 4.6073 4.6073 23.9636
angles (deg): 90.00 90.00 120.00
Closest atoms and distances in Å follow each position.
Space group R-3m (No. 166, hexagonal axes)
Asymmetric unit:
Y 0.0000 0.0000 0.0000 x3  8 Pd 2.98-3.02
Sc 0.0000 0.0000 0.2405 x6  7 Pd 2.74-2.80
Zn 0.0000 0.0000 0.5000 x3  8 Pd 2.64-2.83
Pd 0.0000 0.0000 0.1259 x6  4 Sc 2.74-2.78, 3 Zn 2.83, 1 Y 3.02
Pd 0.0000 0.0000 0.3897 x6  1 Zn 2.64, 3 Sc 2.80

---

(18)
Pm2SiIr2: optimized geometry, PBE.

Output
Calculated total energy, eV/f.u.: -36.9
DOS at the Fermi energy, states/eV/cell: 15.607
Formation energy from raw total energies, eV per atom: -0.8590

a b c (Å): 9.8440 5.6910 7.6580
angles (deg): 90.00 102.46 90.00
Closest atoms and distances in Å follow each position.
Space group C2/c (No. 15)
Asymmetric unit:
Pm 0.1498 0.1343 0.1488 x8  6 Ir 3.04-3.10, 2 Si 3.25-3.37
Si 0.0000 0.3919 0.7500 x4  4 Ir 2.48-2.50
Ir 0.1284 0.3663 0.5051 x8  2 Si 2.48-2.50, 1 Ir 2.75

---

(19)
Ce2Te3Pt: optimized geometry, PBE.

Output
Calculated total energy, eV/f.u.: -34.5
DOS at the Fermi energy, states/eV/cell: 53.055
Formation energy from raw total energies, eV per atom: -1.1879

a b c (Å): 12.9188 4.4062 12.0508
angles (deg): 90.00 90.00 90.00
Closest atoms and distances in Å follow each position.
Space group Pnma (No. 62)
Asymmetric unit:
Ce 0.0355 0.2500 0.1841 x4  2 Pt 3.08, 6 Te 3.20-3.42
Ce 0.2104 0.2500 0.4761 x4  6 Te 3.22-3.30, 1 Pt 3.27
Te 0.0458 0.7500 0.3822 x4  1 Pt 2.69
Te 0.1132 0.2500 0.9316 x4  5 Ce 3.20-3.24, 1 Pt 3.47
Te 0.1964 0.7500 0.6793 x4  2 Pt 2.67
Pt 0.1965 0.7500 0.2287 x4  3 Te 2.67-2.69

---

(20)
TaNbMoRh: optimized geometry, PBE.

Output
Energy relative to the elements, kcal/mol of atoms: -6.0
Relative energy among the computed polymorphs, eV/atom: 0.043
Calculated total energy, eV/f.u.: -41.1
DOS at the Fermi energy, states/eV/cell: 14.913

a b c (Å): 6.4234 6.4234 6.4234
angles (deg): 90.00 90.00 90.00
Closest atoms and distances in Å follow each position.
Space group F-43m (No. 216)
Asymmetric unit:
Ta 0.0000 0.0000 0.0000 x4  4 Mo 2.78, 4 Rh 2.78
Nb 0.0000 0.0000 0.5000 x4  4 Rh 2.78, 4 Mo 2.78
Mo 0.2500 0.2500 0.7500 x4  4 Ta 2.78, 4 Nb 2.78
Rh 0.2500 0.2500 0.2500 x4  4 Ta 2.78, 4 Nb 2.78